No. 1
Compound: NpAsRhN
Source: Alexandria via LeMat-Bulk
Functional: GGA-PBE
Structure: relaxed

Results
- DOS at the Fermi energy: 14.79 states/eV per cell
- Mass density: 11.01 Mg/m³
- Symmetry: No. 129
- DFT total energy: -9.238 eV/atom

Cell: 3.9589 3.9589 8.2522 Å, 90.00 90.00 90.00°
Fractional coordinates of all 8 atoms:
Np 0.2500 0.2500 0.1322
Np 0.7500 0.7500 0.8678
As 0.2500 0.2500 0.6769
As 0.7500 0.7500 0.3231
Rh 0.2500 0.7500 0.5000
Rh 0.7500 0.2500 0.5000
N 0.2500 0.7500 0.0000
N 0.7500 0.2500 0.0000

No. 2
Compound: NpAsRuN
Source: Alexandria via LeMat-Bulk
Functional: GGA-PBE
Structure: relaxed

Results
- DOS at the Fermi energy: 16.38 states/eV per cell
- Mass density: 11.05 Mg/m³
- Symmetry: No. 129
- DFT total energy: -9.607 eV/atom

Cell: 4.0169 4.0169 7.9528 Å, 90.00 90.00 90.00°
Fractional coordinates of all 8 atoms:
Np 0.2500 0.2500 0.1338
Np 0.7500 0.7500 0.8662
As 0.2500 0.2500 0.6713
As 0.7500 0.7500 0.3287
Ru 0.2500 0.7500 0.5000
Ru 0.7500 0.2500 0.5000
N 0.2500 0.7500 0.0000
N 0.7500 0.2500 0.0000

No. 3
Compound: Np2SbAs2N2
Source: Alexandria via LeMat-Bulk
Functional: GGA-PBE
Structure: relaxed

Results
- DOS at the Fermi energy: 12.15 states/eV per cell
- Mass density: 9.08 Mg/m³
- Symmetry: No. 164
- DFT total energy: -8.332 eV/atom

Cell: 3.6789 3.6789 12.0729 Å, 90.00 90.00 120.00°
Fractional coordinates of all 7 atoms:
Np 0.3333 0.6667 0.2713
Np 0.6667 0.3333 0.7287
Sb 0.0000 0.0000 0.5000
As 0.0000 0.0000 0.0957
As 0.0000 0.0000 0.9043
N 0.3333 0.6667 0.7090
N 0.6667 0.3333 0.2910

No. 4
Compound: Sm2NpAsN5
Source: Alexandria via LeMat-Bulk
Functional: GGA-PBE
Structure: relaxed

Results
- DOS at the Fermi energy: 10.25 states/eV per cell
- Mass density: 8.84 Mg/m³
- Symmetry: No. 36
- DFT total energy: -8.414 eV/atom

Cell: 7.2757 7.2757 10.2987 Å, 90.00 90.00 151.95°
Fractional coordinates of all 18 atoms:
Sm 0.1102 0.8898 0.5000
Sm 0.1336 0.8664 0.1391
Sm 0.8664 0.1336 0.6391
Sm 0.8898 0.1102 0.0000
Np 0.2034 0.7966 0.8423
Np 0.7966 0.2034 0.3423
As 0.4578 0.5422 0.2594
As 0.5422 0.4578 0.7594
N 0.0365 0.9635 0.8424
N 0.2875 0.7125 0.4791
N 0.3231 0.6769 0.1970
N 0.3485 0.6515 0.8245
N 0.4917 0.5083 0.5972
N 0.5083 0.4917 0.0972
N 0.6515 0.3485 0.3245
N 0.6769 0.3231 0.6970
N 0.7125 0.2875 0.9791
N 0.9635 0.0365 0.3424

No. 5
Compound: NpTcAsN
Source: Alexandria via LeMat-Bulk
Functional: GGA-PBE
Structure: relaxed

Results
- DOS at the Fermi energy: 15.25 states/eV per cell
- Mass density: 10.88 Mg/m³
- Symmetry: No. 129
- DFT total energy: -9.789 eV/atom

Cell: 3.9633 3.9633 8.2386 Å, 90.00 90.00 90.00°
Fractional coordinates of all 8 atoms:
Np 0.2500 0.2500 0.1327
Np 0.7500 0.7500 0.8673
Tc 0.2500 0.7500 0.5000
Tc 0.7500 0.2500 0.5000
As 0.2500 0.2500 0.6827
As 0.7500 0.7500 0.3173
N 0.2500 0.7500 0.0000
N 0.7500 0.2500 0.0000

No. 6
Compound: Th2NpAs2N2
Source: Alexandria via LeMat-Bulk
Functional: GGA-PBE
Structure: relaxed

Results
- DOS at the Fermi energy: 8.75 states/eV per cell
- Mass density: 9.92 Mg/m³
- Symmetry: No. 12
- DFT total energy: -9.070 eV/atom

Cell: 12.0789 3.9947 7.1320 Å, 90.00 121.21 90.00°
Fractional coordinates of all 14 atoms:
Th 0.1892 0.0000 0.2349
Th 0.3108 0.5000 0.7651
Th 0.6892 0.5000 0.2349
Th 0.8108 0.0000 0.7651
Np 0.0000 0.0000 0.5000
Np 0.5000 0.5000 0.5000
As 0.0640 0.5000 0.8343
As 0.4360 0.0000 0.1657
As 0.5640 0.0000 0.8343
As 0.9360 0.5000 0.1657
N 0.1965 0.0000 0.5820
N 0.3035 0.5000 0.4180
N 0.6965 0.5000 0.5820
N 0.8035 0.0000 0.4180

No. 7
Compound: ZrNpAs2N
Source: Alexandria via LeMat-Bulk
Functional: GGA-PBE
Structure: relaxed

Results
- DOS at the Fermi energy: 16.47 states/eV per cell
- Mass density: 8.61 Mg/m³
- Symmetry: No. 129
- DFT total energy: -8.730 eV/atom

Cell: 3.7938 3.7938 13.1919 Å, 90.00 90.00 90.00°
Fractional coordinates of all 10 atoms:
Zr 0.2500 0.2500 0.0933
Zr 0.7500 0.7500 0.9067
Np 0.2500 0.2500 0.5889
Np 0.7500 0.7500 0.4111
As 0.2500 0.2500 0.3025
As 0.2500 0.2500 0.8784
As 0.7500 0.7500 0.1216
As 0.7500 0.7500 0.6975
N 0.2500 0.7500 0.5000
N 0.7500 0.2500 0.5000

No. 8
Compound: AsOsNO2
Source: Alexandria via LeMat-Bulk
Functional: GGA-PBE
Structure: relaxed

Results
- DOS at the Fermi energy: 3.76 states/eV per cell
- Mass density: 8.61 Mg/m³
- Symmetry: No. 123
- DFT total energy: -6.545 eV/atom

Cell: 3.9342 3.9342 3.8778 Å, 90.00 90.00 90.00°
Fractional coordinates of all 5 atoms:
As 0.0000 0.0000 0.0000
Os 0.5000 0.5000 0.5000
N 0.5000 0.5000 0.0000
O 0.0000 0.5000 0.5000
O 0.5000 0.0000 0.5000

No. 9
Compound: AsOsNO2
Source: Alexandria via LeMat-Bulk
Functional: GGA-PBE
Structure: relaxed

Results
- DOS at the Fermi energy: 3.72 states/eV per cell
- Mass density: 9.20 Mg/m³
- Symmetry: No. 123
- DFT total energy: -5.829 eV/atom

Cell: 3.7135 3.7135 4.0720 Å, 90.00 90.00 90.00°
Fractional coordinates of all 5 atoms:
As 0.0000 0.0000 0.0000
Os 0.5000 0.5000 0.5000
N 0.0000 0.0000 0.5000
O 0.0000 0.5000 0.0000
O 0.5000 0.0000 0.0000

No. 10
Compound: Pa3AsN2O6
Source: Alexandria via LeMat-Bulk
Functional: GGA-PBE
Structure: relaxed

Results
- DOS at the Fermi energy: 0.00 states/eV per cell
- Mass density: 8.13 Mg/m³
- Symmetry: No. 12
- DFT total energy: -8.991 eV/atom

Cell: 6.6233 6.6233 4.6297 Å, 91.61 91.61 63.90°
Fractional coordinates of all 12 atoms:
Pa 0.0000 0.0000 0.0000
Pa 0.0000 0.5000 0.5000
Pa 0.5000 0.0000 0.5000
As 0.5000 0.5000 0.5000
N 0.1636 0.1636 0.2658
N 0.8364 0.8364 0.7342
O 0.1657 0.6655 0.2560
O 0.3345 0.8343 0.7440
O 0.3373 0.3373 0.7021
O 0.6627 0.6627 0.2979
O 0.6655 0.1657 0.2560
O 0.8343 0.3345 0.7440

No. 11
Compound: AsPb2NO
Source: Alexandria via LeMat-Bulk
Functional: GGA-PBE
Structure: relaxed

Results
- DOS at the Fermi energy: 4.48 states/eV per cell
- Mass density: 7.60 Mg/m³
- Symmetry: No. 123
- DFT total energy: -4.273 eV/atom

Cell: 5.5376 5.5376 3.6994 Å, 90.00 90.00 90.00°
Fractional coordinates of all 5 atoms:
As 0.0000 0.0000 0.0000
Pb 0.0000 0.5000 0.0000
Pb 0.5000 0.0000 0.0000
N 0.0000 0.0000 0.5000
O 0.5000 0.5000 0.5000

No. 12
Compound: AsPbNO2
Source: Alexandria via LeMat-Bulk
Functional: GGA-PBE
Structure: relaxed

Results
- DOS at the Fermi energy: 1.66 states/eV per cell
- Mass density: 8.99 Mg/m³
- Symmetry: No. 123
- DFT total energy: -5.584 eV/atom

Cell: 3.9292 3.9292 3.9268 Å, 90.00 90.00 90.00°
Fractional coordinates of all 5 atoms:
As 0.0000 0.0000 0.0000
Pb 0.5000 0.5000 0.5000
N 0.0000 0.0000 0.5000
O 0.0000 0.5000 0.0000
O 0.5000 0.0000 0.0000